First-principles (PBEsol) data for YZr2Tc after structural relaxation, as listed in Alexandria.

Calculated values
The uncorrected energy is -8.8880 eV per atom. Its energy relative to the elements is 0.18 eV/atom. As for the distance to the lowest polymorph of the same formula: 289 meV/atom. Its space group is Pmmm.

Unit cell a=3.456 b=4.841 c=4.848 alpha=90.00 beta=90.00 gamma=90.00
Fractional coordinates of all 4 atoms:
Y (0.000, 0.000, 0.000)
Zr (0.000, 0.500, 0.500)
Zr (0.500, 0.500, 0.000)
Tc (0.500, 0.000, 0.500)